# 1
DFT (PBE) results for a relaxed Sm5MgCd3 crystal.

Properties
**Calculated formation energy**: -0.180 eV per atom
**DOS(E_F)**: 10.4 states/eV/f.u.
**ρ**: 7.1 g/cm3
**E**: -3.28 eV/atom
**SG**: P6_3/mcm, No. 193
**Total magnetic moment**: 0.00 μB per formula unit

```
data_Sm5MgCd3
_cell_length_a 6.815
_cell_length_b 9.379
_cell_length_c 9.377
_cell_angle_alpha 120.01
_cell_angle_beta 90.00
_cell_angle_gamma 90.00
_space_group_name_H-M_alt 'P 1'
_space_group_IT_number 1
loop_
_space_group_symop_operation_xyz
'x,y,z'
loop_
_atom_site_label
_atom_site_fract_x
_atom_site_fract_y
_atom_site_fract_z
_atom_site_occupancy
Cd1 0.750 0.349 0.349 1
Cd2 0.250 0.651 0.651 1
Cd3 0.750 0.000 0.651 1
Cd4 0.250 0.000 0.349 1
Cd5 0.250 0.349 0.000 1
Cd6 0.750 0.651 0.000 1
Sm1 0.000 0.333 0.667 1
Sm2 0.250 0.687 0.000 1
Sm3 0.250 0.000 0.687 1
Sm4 0.500 0.667 0.333 1
Sm5 0.750 0.687 0.687 1
Sm6 0.250 0.313 0.313 1
Sm7 0.000 0.667 0.333 1
Sm8 0.750 0.000 0.313 1
Sm9 0.750 0.313 0.000 1
Sm10 0.500 0.333 0.667 1
Mg1 0.500 0.000 0.000 1
Mg2 0.000 0.000 0.000 1
```



# 2
DFT (PBE) results for a relaxed Sm6MgCd5 crystal.

Properties
**Calculated formation energy**: -0.281 eV per atom
**DOS(E_F)**: 16.0 states/eV/f.u.
**ρ**: 7.4 g/cm3
**E**: -3.15 eV/atom
**SG**: Cmmm, No. 65
**Total magnetic moment**: 0.78 μB per formula unit

```
data_Sm6MgCd5
_cell_length_a 5.387
_cell_length_b 7.650
_cell_length_c 8.537
_cell_angle_alpha 90.00
_cell_angle_beta 71.61
_cell_angle_gamma 90.00
_space_group_name_H-M_alt 'P 1'
_space_group_IT_number 1
loop_
_space_group_symop_operation_xyz
'x,y,z'
loop_
_atom_site_label
_atom_site_fract_x
_atom_site_fract_y
_atom_site_fract_z
_atom_site_occupancy
Cd1 0.335 0.500 0.331 1
Cd2 0.661 0.000 0.678 1
Cd3 0.000 0.500 0.000 1
Cd4 0.339 0.000 0.322 1
Cd5 0.665 0.500 0.669 1
Sm1 0.500 0.747 0.000 1
Sm2 0.832 0.751 0.336 1
Sm3 0.832 0.249 0.336 1
Sm4 0.168 0.249 0.664 1
Sm5 0.168 0.751 0.664 1
Sm6 0.500 0.253 0.000 1
Mg1 0.000 0.000 0.000 1
```



# 3
DFT (PBE) results for a relaxed Sm4Mg3Cd crystal.

Properties
**Calculated formation energy**: -0.103 eV per atom
**DOS(E_F)**: 8.3 states/eV/f.u.
**ρ**: 5.8 g/cm3
**E**: -3.17 eV/atom
**SG**: Pmm2, No. 25
**Total magnetic moment**: 0.00 μB per formula unit

```
data_Sm4Mg3Cd
_cell_length_a 3.452
_cell_length_b 5.117
_cell_length_c 12.856
_cell_angle_alpha 90.00
_cell_angle_beta 90.00
_cell_angle_gamma 90.00
_space_group_name_H-M_alt 'P 1'
_space_group_IT_number 1
loop_
_space_group_symop_operation_xyz
'x,y,z'
loop_
_atom_site_label
_atom_site_fract_x
_atom_site_fract_y
_atom_site_fract_z
_atom_site_occupancy
Mg1 0.000 0.000 0.435 1
Mg2 0.000 0.500 0.563 1
Mg3 0.500 0.000 0.937 1
Sm1 0.500 0.000 0.672 1
Sm2 0.000 0.500 0.833 1
Sm3 0.000 0.000 0.166 1
Sm4 0.500 0.500 0.329 1
Cd1 0.500 0.500 0.065 1
```